Below is CrMoRh2 at its PBEsol-relaxed geometry, with properties calculated at the SCAN level.

Cell: 3.7555 3.7555 7.5552 Å, 90.00 90.00 90.00°
Last column: nearest neighbours and their distance in Å.
Positions (direct):
Cr 0.0000 0.0000 0.0000  4 Mo 2.66, 8 Rh 2.66
Cr 0.5000 0.5000 0.5000  4 Mo 2.66, 8 Rh 2.66
Mo 0.0000 0.0000 0.5000  4 Cr 2.66, 8 Rh 2.66
Mo 0.5000 0.5000 0.0000  4 Cr 2.66, 8 Rh 2.66
Rh 0.0000 0.5000 0.2500  4 Rh 2.66, 4 Cr 2.66, 4 Mo 2.66
Rh 0.0000 0.5000 0.7500  4 Rh 2.66, 4 Cr 2.66, 4 Mo 2.66
Rh 0.5000 0.0000 0.2500  4 Rh 2.66, 4 Cr 2.66, 4 Mo 2.66
Rh 0.5000 0.0000 0.7500  4 Rh 2.66, 4 Cr 2.66, 4 Mo 2.66

Computed properties:
The energy of formation from the pure elements comes out at -0.15 eV/atom. As for the crystal system: tetragonal. The value obtained for the energy above the most stable polymorph in this dataset is 17 meV/atom.


Below is BaAl2 at its PBEsol-relaxed geometry, with properties calculated at the SCAN level.

Cell: 3.5800 3.5800 12.4714 Å, 90.00 90.00 90.00°
Last column: nearest neighbours and their distance in Å.
Positions (direct):
Ba 0.0000 0.0000 0.0000  10 Al 3.55-3.74, 4 Ba 3.58
Ba 0.5000 0.5000 0.5000  10 Al 3.55-3.74, 4 Ba 3.58
Al 0.0000 0.0000 0.3000  4 Al 2.82
Al 0.0000 0.0000 0.7000  4 Al 2.82
Al 0.5000 0.5000 0.2000  4 Al 2.82
Al 0.5000 0.5000 0.8000  4 Al 2.82

Computed properties:
The energy of formation from the pure elements comes out at 0.00 eV/atom. As for the crystal system: tetragonal.